Below is a relaxed structure of Zn2GeS4, with properties calculated at the PBE level.

abc: 7.231 7.231 10.176
angles: 90.00 90.00 90.00
Fractional coordinates of all 28 atoms:
Zn: 0.000 0.240 0.000
Zn: 0.000 0.760 0.500
Zn: 0.240 0.000 0.750
Zn: 0.255 0.255 0.375
Zn: 0.255 0.745 0.125
Zn: 0.745 0.255 0.625
Zn: 0.745 0.745 0.875
Zn: 0.760 0.000 0.250
Ge: 0.240 0.500 0.750
Ge: 0.500 0.240 0.000
Ge: 0.500 0.760 0.500
Ge: 0.760 0.500 0.250
S: 0.017 0.257 0.752
S: 0.017 0.743 0.748
S: 0.256 0.480 0.989
S: 0.256 0.520 0.511
S: 0.257 0.017 0.998
S: 0.257 0.983 0.502
S: 0.480 0.256 0.761
S: 0.480 0.744 0.739
S: 0.520 0.256 0.239
S: 0.520 0.744 0.261
S: 0.743 0.017 0.002
S: 0.743 0.983 0.498
S: 0.744 0.480 0.011
S: 0.744 0.520 0.489
S: 0.983 0.257 0.248
S: 0.983 0.743 0.252

## Properties
total DFT energy (no corrections): -106.79 eV per cell
volume: 19.0 A^3/atom